An optimized crystal structure of VAgBiAs2, computed with PBE-GGA.

It has space group P4/mmm (No. 123), with a = 5.472 Å, b = 5.472 Å, c = 5.126 Å, α = 90.00°, β = 90.00° and γ = 90.00°. Symmetry generates all atoms from V at (0.000, 0.000, 0.000), Ag at (0.500, 0.500, 0.000), Bi at (0.000, 0.000, 0.500) and As at (0.000, 0.500, 0.500).

As for the total magnetic moment: 0.25 μB per cell. Its energy relative to the elements is 143.6 kJ/mol of atoms.


An optimized crystal structure of Ag5AsBr12, computed with PBE-GGA.

It has space group C2/m (No. 12), with a = 6.742 Å, b = 12.462 Å, c = 13.536 Å, α = 90.00°, β = 90.94° and γ = 90.00°. Symmetry generates all atoms from Ag at (0.000, 0.000, 0.000), Ag at (0.000, 0.160, 0.500), Ag at (0.000, 0.333, 0.000), As at (0.000, 0.500, 0.500), Br at (0.175, 0.346, 0.611), Br at (0.189, 0.167, 0.885), Br at (0.189, 0.500, 0.886) and Br at (0.198, 0.000, 0.623).

As for the uncorrected energy: -86.30 eV/cell. As for the total magnetic moment: 2.03 μB per cell.


An optimized crystal structure of Ag2AsBr, computed with PBE-GGA.

It has space group Cm (No. 8), with a = 8.736 Å, b = 3.638 Å, c = 6.421 Å, α = 90.00°, β = 111.43° and γ = 90.00°. Symmetry generates all atoms from Ag at (0.000, 0.000, 0.000), Ag at (0.225, 0.000, 0.762), As at (0.486, 0.000, 0.662) and Br at (0.309, 0.500, 0.266).

As for the uncorrected energy: -23.28 eV/cell. As for the total magnetic moment: 0.00 μB per cell.


An optimized crystal structure of AgAs2Br8, computed with PBE-GGA.

It has space group C2/m (No. 12), with a = 11.079 Å, b = 11.159 Å, c = 7.156 Å, α = 90.00°, β = 91.63° and γ = 90.00°. Symmetry generates all atoms from Ag at (0.000, 0.000, 0.000), As at (0.239, 0.500, 0.591), Br at (0.063, 0.500, 0.786), Br at (0.147, 0.161, 0.271) and Br at (0.179, 0.000, 0.779).

As for the uncorrected energy: -57.63 eV/cell. As for the total magnetic moment: 0.00 μB per cell.


An optimized crystal structure of Ag2AsBr4, computed with PBE-GGA.

It has space group I-42m (No. 121), with a = 7.007 Å, b = 7.007 Å, c = 8.327 Å, α = 90.00°, β = 90.00° and γ = 90.00°. Symmetry generates all atoms from Ag at (0.000, 0.500, 0.250), As at (0.000, 0.000, 0.000) and Br at (0.242, 0.242, 0.593).

As for the uncorrected energy: -36.42 eV/cell. As for the total magnetic moment: 2.01 μB per cell.


An optimized crystal structure of Ag2AsBr, computed with PBE-GGA.

It has space group P4mm (No. 99), with a = 3.552 Å, b = 3.552 Å, c = 7.314 Å, α = 90.00°, β = 90.00° and γ = 90.00°. Symmetry generates all atoms from Ag at (0.000, 0.000, 0.000), Ag at (0.500, 0.500, 0.227), As at (0.000, 0.000, 0.371) and Br at (0.500, 0.500, 0.794).

As for the uncorrected energy: -11.81 eV/cell. As for the total magnetic moment: 0.00 μB per cell.


An optimized crystal structure of Ag2As2Br, computed with PBE-GGA.

It has space group I4/mmm (No. 139), with a = 4.918 Å, b = 4.918 Å, c = 9.453 Å, α = 90.00°, β = 90.00° and γ = 90.00°. Symmetry generates all atoms from Ag at (0.000, 0.500, 0.250), As at (0.000, 0.000, 0.126) and Br at (0.000, 0.000, 0.500).

As for the uncorrected energy: -31.34 eV/cell. As for the total magnetic moment: 0.00 μB per cell.


An optimized crystal structure of Ag3AsBr, computed with PBE-GGA.

It has space group Pm-3m (No. 221), with a = 5.026 Å, b = 5.026 Å, c = 5.026 Å, α = 90.00°, β = 90.00° and γ = 90.00°. Symmetry generates all atoms from Ag at (0.000, 0.000, 0.500), As at (0.000, 0.000, 0.000) and Br at (0.500, 0.500, 0.500).

As for the uncorrected energy: -13.79 eV/cell. As for the total magnetic moment: 0.00 μB per cell.


An optimized crystal structure of AgAsBr6, computed with PBE-GGA.

It has space group P-1 (No. 2), with a = 6.853 Å, b = 6.872 Å, c = 7.171 Å, α = 61.54°, β = 89.91° and γ = 60.19°. Symmetry generates all atoms from Ag at (0.000, 0.000, 0.000), As at (0.500, 0.000, 0.500), Br at (0.121, 0.145, 0.255), Br at (0.265, 0.137, 0.744) and Br at (0.402, 0.476, 0.257).

As for the uncorrected energy: -18.77 eV/cell. As for the total magnetic moment: 0.00 μB per cell.


An optimized crystal structure of Ag4AsBr, computed with PBE-GGA.

It has space group F-43m (No. 216), with a = 7.946 Å, b = 7.946 Å, c = 7.946 Å, α = 90.00°, β = 90.00° and γ = 90.00°. Symmetry generates all atoms from Ag at (0.124, 0.124, 0.124), As at (0.250, 0.250, 0.750) and Br at (0.000, 0.000, 0.500).

As for the uncorrected energy: -62.46 eV/cell. As for the total magnetic moment: 0.00 μB per cell.


An optimized crystal structure of Ag2AsBr, computed with PBE-GGA.

It has space group I-42d (No. 122), with a = 6.555 Å, b = 6.555 Å, c = 10.338 Å, α = 90.00°, β = 90.00° and γ = 90.00°. Symmetry generates all atoms from Ag at (0.219, 0.250, 0.125), As at (0.000, 0.000, 0.000) and Br at (0.000, 0.000, 0.500).

As for the uncorrected energy: -46.05 eV/cell. As for the total magnetic moment: 0.00 μB per cell.


An optimized crystal structure of Ag2AsBr, computed with PBE-GGA.

It has space group P2/m (No. 10), with a = 3.504 Å, b = 3.449 Å, c = 7.380 Å, α = 90.00°, β = 90.20° and γ = 90.00°. Symmetry generates all atoms from Ag at (0.002, 0.000, 0.201), As at (0.500, 0.500, 0.000) and Br at (0.000, 0.500, 0.500).

As for the uncorrected energy: -11.78 eV/cell. As for the total magnetic moment: 0.00 μB per cell.


An optimized crystal structure of Ag2AsBr, computed with PBE-GGA.

It has space group Imm2 (No. 44), with a = 3.405 Å, b = 3.605 Å, c = 14.666 Å, α = 90.00°, β = 90.00° and γ = 90.00°. Symmetry generates all atoms from Ag at (0.000, 0.000, 0.000), Ag at (0.000, 0.500, 0.226), As at (0.000, 0.500, 0.642) and Br at (0.000, 0.000, 0.388).

As for the uncorrected energy: -23.60 eV/cell. As for the total magnetic moment: 0.00 μB per cell.


An optimized crystal structure of Ag2AsBr8, computed with PBE-GGA.

It has space group C2/m (No. 12), with a = 11.421 Å, b = 11.582 Å, c = 7.034 Å, α = 90.00°, β = 115.76° and γ = 90.00°. Symmetry generates all atoms from Ag at (0.151, 0.000, 0.118), As at (0.000, 0.000, 0.500), Br at (0.072, 0.500, 0.685), Br at (0.077, 0.162, 0.319) and Br at (0.237, 0.000, 0.828).

As for the uncorrected energy: -51.82 eV/cell. As for the total magnetic moment: 0.00 μB per cell.


An optimized crystal structure of Ag2AsBr, computed with PBE-GGA.

It has space group Fm-3m (No. 225), with a = 7.028 Å, b = 7.028 Å, c = 7.028 Å, α = 90.00°, β = 90.00° and γ = 90.00°. Symmetry generates all atoms from Ag at (0.250, 0.250, 0.250), As at (0.000, 0.000, 0.000) and Br at (0.000, 0.000, 0.500).

As for the uncorrected energy: -41.02 eV/cell. As for the total magnetic moment: 7.74 μB per cell.


An optimized crystal structure of Ag2AsBr, computed with PBE-GGA.

It has space group F-43m (No. 216), with a = 6.977 Å, b = 6.977 Å, c = 6.977 Å, α = 90.00°, β = 90.00° and γ = 90.00°. Symmetry generates all atoms from Ag at (0.000, 0.000, 0.000), Ag at (0.250, 0.250, 0.250), As at (0.250, 0.250, 0.750) and Br at (0.000, 0.000, 0.500).

As for the uncorrected energy: -40.14 eV/cell. As for the total magnetic moment: 0.00 μB per cell.


An optimized crystal structure of Ag6AsBr12, computed with PBE-GGA.

It has space group R-3 (No. 148, hexagonal axes), with a = 11.2088 Å, b = 11.2088 Å, c = 18.4103 Å, α = 90.00°, β = 90.00° and γ = 120.00°. Symmetry generates all atoms from Ag at (0.0428, 0.7748, 0.1624), As at (0.0000, 0.0000, 0.5000), Br at (0.0294, 0.8242, 0.8870) and Br at (0.0807, 0.8600, 0.4140).

As for the uncorrected energy: -141.70 eV/cell. As for the total magnetic moment: 0.00 μB per cell.


An optimized crystal structure of Ag2AsBr, computed with PBE-GGA.

It has space group R-3m (No. 166, hexagonal axes), with a = 3.6954 Å, b = 3.6954 Å, c = 22.2067 Å, α = 90.00°, β = 90.00° and γ = 120.00°. Symmetry generates all atoms from Ag at (0.0000, 0.0000, 0.2426), As at (0.0000, 0.0000, 0.5000) and Br at (0.0000, 0.0000, 0.0000).

As for the uncorrected energy: -35.78 eV/cell. As for the total magnetic moment: 0.00 μB per cell.


An optimized crystal structure of AgAs2Br6, computed with PBE-GGA.

It has space group C2/c (No. 15), with a = 13.312 Å, b = 17.253 Å, c = 7.876 Å, α = 90.00°, β = 108.47° and γ = 90.00°. Symmetry generates all atoms from Ag at (0.000, 0.006, 0.250), As at (0.167, 0.395, 0.753), Br at (0.090, 0.399, 0.986), Br at (0.130, 0.054, 0.071) and Br at (0.186, 0.261, 0.718).

As for the uncorrected energy: -98.08 eV/cell. As for the total magnetic moment: 0.00 μB per cell.


An optimized crystal structure of Ag2As2Br, computed with PBE-GGA.

It has space group P4/mbm (No. 127), with a = 7.627 Å, b = 7.627 Å, c = 4.053 Å, α = 90.00°, β = 90.00° and γ = 90.00°. Symmetry generates all atoms from Ag at (0.152, 0.348, 0.000), As at (0.109, 0.609, 0.500) and Br at (0.000, 0.000, 0.000).

As for the uncorrected energy: -31.55 eV/cell. As for the total magnetic moment: 0.00 μB per cell.


An optimized crystal structure of AgAs4Br, computed with PBE-GGA.

It has space group F-43m (No. 216), with a = 8.541 Å, b = 8.541 Å, c = 8.541 Å, α = 90.00°, β = 90.00° and γ = 90.00°. Symmetry generates all atoms from Ag at (0.000, 0.000, 0.000), As at (0.103, 0.103, 0.603) and Br at (0.250, 0.250, 0.250).

As for the uncorrected energy: -86.16 eV/cell. As for the total magnetic moment: 0.00 μB per cell.


An optimized crystal structure of Ag2AsBr, computed with PBE-GGA.

It has space group Cmmm (No. 65), with a = 4.183 Å, b = 5.325 Å, c = 7.655 Å, α = 90.00°, β = 90.00° and γ = 90.00°. Symmetry generates all atoms from Ag at (0.000, 0.000, 0.230), As at (0.000, 0.500, 0.000) and Br at (0.000, 0.500, 0.500).

As for the uncorrected energy: -22.97 eV/cell. As for the total magnetic moment: 0.00 μB per cell.


An optimized crystal structure of Ag2AsBr, computed with PBE-GGA.

It has space group P4/mmm (No. 123), with a = 3.402 Å, b = 3.402 Å, c = 7.299 Å, α = 90.00°, β = 90.00° and γ = 90.00°. Symmetry generates all atoms from Ag at (0.000, 0.000, 0.218), As at (0.500, 0.500, 0.000) and Br at (0.500, 0.500, 0.500).

As for the uncorrected energy: -11.46 eV/cell. As for the total magnetic moment: 0.00 μB per cell.


An optimized crystal structure of Ag2AsBr, computed with PBE-GGA.

It has space group Cmmm (No. 65), with a = 6.163 Å, b = 8.213 Å, c = 3.305 Å, α = 90.00°, β = 90.00° and γ = 90.00°. Symmetry generates all atoms from Ag at (0.250, 0.250, 0.000), As at (0.000, 0.000, 0.500) and Br at (0.000, 0.500, 0.500).

As for the uncorrected energy: -22.11 eV/cell. As for the total magnetic moment: 0.00 μB per cell.


An optimized crystal structure of Ag2AsBr5, computed with PBE-GGA.

It has space group I4 (No. 79), with a = 8.142 Å, b = 8.142 Å, c = 11.260 Å, α = 90.00°, β = 90.00° and γ = 90.00°. Symmetry generates all atoms from Ag at (0.000, 0.500, 0.000), As at (0.000, 0.000, 0.473), Br at (0.000, 0.000, 0.264) and Br at (0.202, 0.737, 0.501).

As for the uncorrected energy: -42.60 eV/cell. As for the total magnetic moment: 0.00 μB per cell.